# CaZr2Hg | Alexandria | PBE | optimized geometry
# * DOS at the Fermi energy: 0.94 states/eV/atom
# * electronic total energy: -4.49 eV/atom
# * calculated volume: 213 Å³ per cell
data_CaZr2Hg
_space_group_name_H-M_alt 'P 1'
_space_group_IT_number 1
_space_group_name_Hall 'P 1'
_cell_length_a 8.481
_cell_length_b 8.481
_cell_length_c 6.688
_cell_angle_alpha 50.65
_cell_angle_beta 50.65
_cell_angle_gamma 90.00
loop_
_atom_site_label
_atom_site_fract_x
_atom_site_fract_y
_atom_site_fract_z
Ca1 0.500 0.500 0.000
Ca2 0.250 0.750 0.500
Hg1 0.000 0.000 0.000
Hg2 0.750 0.250 0.500
Zr1 0.664 0.125 0.250
Zr2 0.086 0.625 0.250
Zr3 0.375 0.336 0.750
Zr4 0.875 0.914 0.750

# CaZrHg2 | Alexandria | PBE | optimized geometry
# * DOS at the Fermi energy: 1.02 states/eV/atom
# * electronic total energy: -2.75 eV/atom
# * calculated volume: 106 Å³ per cell
data_CaZrHg2
_space_group_name_H-M_alt 'P 1'
_space_group_IT_number 1
_space_group_name_Hall 'P 1'
_cell_length_a 9.986
_cell_length_b 9.986
_cell_length_c 9.986
_cell_angle_alpha 20.39
_cell_angle_beta 20.39
_cell_angle_gamma 20.39
loop_
_atom_site_label
_atom_site_fract_x
_atom_site_fract_y
_atom_site_fract_z
Ca1 0.746 0.746 0.746
Hg1 0.996 0.996 0.996
Hg2 0.250 0.250 0.250
Zr1 0.508 0.508 0.508

# Ca2ZrHg | Alexandria | PBE | optimized geometry
# * DOS at the Fermi energy: 1.20 states/eV/atom
# * electronic total energy: -3.19 eV/atom
# * calculated volume: 116 Å³ per cell
data_Ca2ZrHg
_space_group_name_H-M_alt 'P 1'
_space_group_IT_number 1
_space_group_name_Hall 'P 1'
_cell_length_a 6.712
_cell_length_b 6.712
_cell_length_c 5.476
_cell_angle_alpha 65.96
_cell_angle_beta 65.96
_cell_angle_gamma 31.23
loop_
_atom_site_label
_atom_site_fract_x
_atom_site_fract_y
_atom_site_fract_z
Ca1 0.006 0.006 0.994
Ca2 0.217 0.217 0.283
Hg1 0.487 0.487 0.512
Zr1 0.790 0.790 0.711

| no. | E_form (kJ/mol of atoms) |
| --- | --- |
| 1 | 34.4 |
| 2 | 3.7 |
| 3 | 2.4 |